1.
{
  "formula": "Pr3AsPbCl",
  "functional": "GGA-PBE",
  "state": "relaxed",
  "lattice_angstrom": [[8.043, 0.000, 0.000], [0.000, 4.634, 0.000], [-3.517, 0.000, 9.626]],
  "species": ["Pr", "Pr", "Pr", "Pr", "Pr", "Pr", "As", "As", "Pb", "Pb", "Cl", "Cl"],
  "fractional_positions": [[0.032, 0.250, 0.341], [0.216, 0.250, 0.981], [0.435, 0.750, 0.632], [0.565, 0.250, 0.368], [0.784, 0.750, 0.019], [0.968, 0.750, 0.659], [0.201, 0.250, 0.640], [0.799, 0.750, 0.360], [0.240, 0.750, 0.225], [0.760, 0.250, 0.775], [0.373, 0.750, 0.901], [0.627, 0.250, 0.099]]
}


2.
{
  "formula": "KSrB2F8",
  "functional": "GGA-PBE",
  "state": "relaxed",
  "lattice_angstrom": [[2.619, 1.512, 7.937], [-2.619, 1.512, 7.937], [0.000, -3.024, 7.937]],
  "species": ["K", "Sr", "B", "B", "F", "F", "F", "F", "F", "F", "F", "F"],
  "fractional_positions": [[0.000, 0.000, 0.000], [0.500, 0.500, 0.500], [0.246, 0.246, 0.246], [0.754, 0.754, 0.754], [0.075, 0.079, 0.518], [0.079, 0.518, 0.075], [0.304, 0.304, 0.304], [0.482, 0.925, 0.921], [0.518, 0.075, 0.079], [0.696, 0.696, 0.696], [0.921, 0.482, 0.925], [0.925, 0.921, 0.482]]
}


3.
{
  "formula": "UBiSe2",
  "functional": "GGA-PBE",
  "state": "relaxed",
  "lattice_angstrom": [[1.906, 1.101, 9.534], [-1.906, 1.101, 9.534], [0.000, -2.201, 9.534]],
  "species": ["U", "Bi", "Se", "Se"],
  "fractional_positions": [[0.000, 0.000, 0.000], [0.500, 0.500, 0.500], [0.396, 0.396, 0.396], [0.604, 0.604, 0.604]],
  "e_above_lowest_polymorph_mev_per_atom": 0
}


4.
{
  "formula": "Ga6CoRu5",
  "functional": "GGA-PBE",
  "state": "relaxed",
  "lattice_angstrom": [[-2.128, 3.014, 6.381], [2.128, -3.014, 6.381], [2.128, 3.014, -6.381]],
  "species": ["Ga", "Ga", "Ga", "Ga", "Ga", "Ga", "Co", "Ru", "Ru", "Ru", "Ru", "Ru"],
  "fractional_positions": [[0.083, 0.335, 0.748], [0.248, 0.000, 0.248], [0.414, 0.665, 0.748], [0.586, 0.335, 0.252], [0.752, 0.000, 0.752], [0.917, 0.665, 0.252], [0.000, 0.500, 0.500], [0.163, 0.163, 0.000], [0.333, 0.833, 0.500], [0.500, 0.500, 0.000], [0.667, 0.167, 0.500], [0.837, 0.837, 0.000]]
}


5.
{
  "formula": "La3AuO",
  "functional": "GGA-PBE",
  "state": "relaxed",
  "lattice_angstrom": [[0.000, 6.598, 6.598], [6.598, 0.000, 6.598], [6.598, 6.598, 0.000]],
  "species": ["La", "La", "La", "La", "La", "La", "La", "La", "La", "La", "La", "La", "Au", "Au", "Au", "Au", "O", "O", "O", "O"],
  "fractional_positions": [[0.076, 0.076, 0.674], [0.076, 0.674, 0.076], [0.076, 0.674, 0.674], [0.326, 0.326, 0.924], [0.326, 0.924, 0.326], [0.326, 0.924, 0.924], [0.674, 0.076, 0.076], [0.674, 0.076, 0.674], [0.674, 0.674, 0.076], [0.924, 0.326, 0.326], [0.924, 0.326, 0.924], [0.924, 0.924, 0.326], [0.000, 0.500, 0.500], [0.500, 0.000, 0.500], [0.500, 0.500, 0.000], [0.500, 0.500, 0.500], [0.000, 0.000, 0.000], [0.000, 0.000, 0.500], [0.000, 0.500, 0.000], [0.500, 0.000, 0.000]],
  "e_above_lowest_polymorph_mev_per_atom": 473
}


6.
{
  "formula": "Dy9Er2Tl",
  "functional": "GGA-PBE",
  "state": "relaxed",
  "lattice_angstrom": [[4.925, 0.000, 0.000], [0.000, 4.925, 0.000], [0.000, 0.000, 15.061]],
  "species": ["Dy", "Dy", "Dy", "Dy", "Dy", "Dy", "Dy", "Dy", "Dy", "Er", "Er", "Tl"],
  "fractional_positions": [[0.000, 0.000, 0.000], [0.000, 0.000, 0.329], [0.000, 0.000, 0.671], [0.000, 0.500, 0.164], [0.000, 0.500, 0.500], [0.000, 0.500, 0.836], [0.500, 0.000, 0.164], [0.500, 0.000, 0.500], [0.500, 0.000, 0.836], [0.500, 0.500, 0.333], [0.500, 0.500, 0.667], [0.500, 0.500, 0.000]]
}


7.
{
  "formula": "Nb2OsRu",
  "functional": "GGA-PBE",
  "state": "relaxed",
  "lattice_angstrom": [[4.615, -3.065, 0.000], [4.615, 3.065, 0.000], [-0.451, 0.000, 4.579]],
  "species": ["Nb", "Nb", "Nb", "Nb", "Os", "Os", "Ru", "Ru"],
  "fractional_positions": [[0.131, 0.633, 0.766], [0.367, 0.869, 0.234], [0.633, 0.131, 0.766], [0.869, 0.367, 0.234], [0.366, 0.366, 0.268], [0.634, 0.634, 0.732], [0.137, 0.137, 0.725], [0.863, 0.863, 0.275]]
}


8.
{
  "formula": "AgGe2F6",
  "functional": "GGA-PBE",
  "state": "relaxed",
  "lattice_angstrom": [[4.990, -5.826, 0.000], [4.990, 5.826, 0.000], [-1.069, 0.000, 5.140]],
  "species": ["Ag", "Ag", "Ge", "Ge", "Ge", "Ge", "F", "F", "F", "F", "F", "F", "F", "F", "F", "F", "F", "F"],
  "fractional_positions": [[0.084, 0.916, 0.750], [0.916, 0.084, 0.250], [0.211, 0.452, 0.849], [0.452, 0.211, 0.349], [0.548, 0.789, 0.651], [0.789, 0.548, 0.151], [0.052, 0.612, 0.822], [0.066, 0.234, 0.683], [0.234, 0.066, 0.183], [0.296, 0.495, 0.543], [0.388, 0.948, 0.678], [0.495, 0.296, 0.043], [0.505, 0.704, 0.957], [0.612, 0.052, 0.322], [0.704, 0.505, 0.457], [0.766, 0.934, 0.817], [0.934, 0.766, 0.317], [0.948, 0.388, 0.178]]
}


Total DFT energy (no corrections) list, top to bottom, in eV/atom: -5.193, -5.455, -6.190, -6.268, -5.591, -4.452, -10.354, -4.382
N(E_F) list, top to bottom, in states/eV/f.u.: 4.3, 1.9, 2.6, 12.9, 4.8, 14.5, 3.4, 3.8
Magnetic moment list, top to bottom, in μB per cell: 0.0, 0.6, 2.8, 0.0, 0.0, 0.0, 0.0, 2.0